A geometry-optimized PuZr5In6 structure. Source: Alexandria, functional PBE.

a = 4.5292 Å, b = 8.9222 Å, c = 13.5549 Å
α = 90.00°, β = 90.00°, γ = 90.00°
Space group Immm (No. 71)
One atom of each set of equivalent atoms:
Pu 0.0000 0.0000 0.0000 [2 per cell]
Zr 0.0000 0.0000 0.3318 [4 per cell]
Zr 0.0000 0.5000 0.0000 [2 per cell]
Zr 0.0000 0.5000 0.3340 [4 per cell]
In 0.0000 0.2436 0.5000 [4 per cell]
In 0.0000 0.2538 0.1693 [8 per cell]

Results
Total moment in μB/atom: 0.52
Density of states at the Fermi level in states/eV/f.u.: 14.9
Energy of formation in eV per atom: -0.26